DFT (PBE) results for a geometry-optimized ZnCd2As structure.

energy of formation from the pure elements = 0.1476 eV/atom
energy above the lowest structure with this stoichiometry = 0.0638 eV/atom
total magnetization = 0.0 μB per formula unit
space-group type = R-3m, No. 166

Cell and atoms, written as CIF:
```
data_ZnCd2As
_chemical_formula_sum 'Zn1 Cd2 As1'
_symmetry_space_group_name_H-M 'P 1'
_symmetry_Int_Tables_number 1
_cell_length_a 9.134
_cell_length_b 9.134
_cell_length_c 9.134
_cell_angle_alpha 20.59
_cell_angle_beta 20.59
_cell_angle_gamma 20.59
loop_
_symmetry_equiv_pos_as_xyz
'x,y,z'
loop_
_atom_site_label
_atom_site_fract_x
_atom_site_fract_y
_atom_site_fract_z
As1 0.750 0.750 0.750
Cd1 0.995 0.995 0.995
Cd2 0.505 0.505 0.505
Zn1 0.250 0.250 0.250
```